Entry 1:
First-principles (GGA-PBE) data for a geometry-optimized MnSiPH structure, as listed in Alexandria.

## Properties
* V: 11.52 A^3/atom
* E above lowest polymorph: 14 meV per atom
* mass density: 4.1 g/cm³
* magnetization: 0.7 μB per formula unit
* E: -5.940 eV per atom

```
data_MnSiPH
_space_group_name_H-M_alt 'P 1'
_space_group_IT_number 1
_cell_length_a 2.807
_cell_length_b 3.918
_cell_length_c 4.737
_cell_angle_alpha 76.70
_cell_angle_beta 73.01
_cell_angle_gamma 69.08
loop_
_space_group_symop_operation_xyz
'x,y,z'
loop_
_atom_site_label
_atom_site_type_symbol
_atom_site_fract_x
_atom_site_fract_y
_atom_site_fract_z
_atom_site_occupancy
Mn1 Mn 0.000 0.000 0.000 1
Si1 Si 0.579 0.573 0.271 1
P1 P 0.379 0.452 0.790 1
H1 H 0.787 0.103 0.333 1
```

Entry 2:
First-principles (GGA-PBE) data for a geometry-optimized Pm4HoCd3 structure, as listed in Alexandria.

## Properties
* V: 29.13 A^3/atom
* mass density: 7.7 g/cm³
* magnetization: 0.1 μB per formula unit
* formation enthalpy at 0 K: -190.9 meV/atom
* E: -3.482 eV per atom

```
data_Pm4HoCd3
_space_group_name_H-M_alt 'P m m m'
_space_group_IT_number 47
_cell_length_a 3.786
_cell_length_b 5.516
_cell_length_c 11.157
_cell_angle_alpha 90.00
_cell_angle_beta 90.00
_cell_angle_gamma 90.00
loop_
_space_group_symop_operation_xyz
'x,y,z'
'-x,-y,-z'
'-x,-y,z'
'x,y,-z'
'x,-y,-z'
'-x,y,z'
'-x,y,-z'
'x,-y,z'
loop_
_atom_site_label
_atom_site_type_symbol
_atom_site_fract_x
_atom_site_fract_y
_atom_site_fract_z
_atom_site_occupancy
Pm1 Pm 0.000 0.000 0.000 1
Pm2 Pm 0.000 0.000 0.500 1
Pm3 Pm 0.000 0.500 0.239 1
Ho1 Ho 0.500 0.500 0.500 1
Cd1 Cd 0.500 0.000 0.253 1
Cd2 Cd 0.500 0.500 0.000 1
```

Entry 3:
First-principles (GGA-PBE) data for a geometry-optimized NaIn2Hg2 structure, as listed in Alexandria.

## Properties
* V: 27.24 A^3/atom
* E above lowest polymorph: 20 meV per atom
* mass density: 8.0 g/cm³
* magnetization: 0.0 μB per formula unit
* formation enthalpy at 0 K: -84.7 meV/atom
* E: -1.565 eV per atom

```
data_NaIn2Hg2
_space_group_name_H-M_alt 'P 4/m b m'
_space_group_IT_number 127
_space_group_name_Hall '-P 4 2ab'
_cell_length_a 8.546
_cell_length_b 8.546
_cell_length_c 3.729
_cell_angle_alpha 90.00
_cell_angle_beta 90.00
_cell_angle_gamma 90.00
loop_
_atom_site_label
_atom_site_type_symbol
_atom_site_fract_x
_atom_site_fract_y
_atom_site_fract_z
_atom_site_occupancy
Na1 Na 0.000 0.000 0.000 1
In1 In 0.148 0.352 0.500 1
Hg1 Hg 0.151 0.651 0.000 1
```

Entry 4:
First-principles (GGA-PBE) data for a geometry-optimized TbInSO2 structure, as listed in Alexandria.

## Properties
* V: 18.37 A^3/atom
* mass density: 6.1 g/cm³
* magnetization: 0.0 μB per formula unit
* formation energy without anion corrections: -1037 kJ/mol of formula units
* E: -6.431 eV per atom

```
data_TbInSO2
_space_group_name_H-M_alt 'P 1 21/m 1'
_space_group_IT_number 11
_cell_length_a 6.768
_cell_length_b 4.090
_cell_length_c 7.346
_cell_angle_alpha 90.00
_cell_angle_beta 115.41
_cell_angle_gamma 90.00
loop_
_space_group_symop_operation_xyz
'x,y,z'
'-x,-y,-z'
'-x,y+1/2,-z'
'x,-y+1/2,z'
loop_
_atom_site_label
_atom_site_type_symbol
_atom_site_fract_x
_atom_site_fract_y
_atom_site_fract_z
_atom_site_occupancy
Tb1 Tb 0.234 0.250 0.052 1
In1 In 0.287 0.750 0.460 1
S1 S 0.275 0.750 0.788 1
O1 O 0.132 0.750 0.134 1
O2 O 0.349 0.250 0.396 1
```

Entry 5:
First-principles (GGA-PBE) data for a geometry-optimized CaBiMo2S structure, as listed in Alexandria.

## Properties
* V: 31.44 A^3/atom
* E above lowest polymorph: 927 meV per atom
* mass density: 5.0 g/cm³
* magnetization: 7.0 μB per formula unit
* formation energy without anion corrections: 670 kJ/mol of formula units
* E: -4.946 eV per atom

```
data_CaBiMo2S
_space_group_name_H-M_alt 'P 4/m m m'
_space_group_IT_number 123
_space_group_name_Hall '-P 4 2'
_cell_length_a 5.303
_cell_length_b 5.303
_cell_length_c 5.589
_cell_angle_alpha 90.00
_cell_angle_beta 90.00
_cell_angle_gamma 90.00
loop_
_atom_site_label
_atom_site_type_symbol
_atom_site_fract_x
_atom_site_fract_y
_atom_site_fract_z
_atom_site_occupancy
Ca1 Ca 0.000 0.000 0.000 1
Bi1 Bi 0.500 0.500 0.500 1
Mo1 Mo 0.000 0.500 0.500 1
S1 S 0.500 0.500 0.000 1
```

Entry 6:
First-principles (GGA-PBE) data for a geometry-optimized HfMgAl2F structure, as listed in Alexandria.

## Properties
* V: 17.00 A^3/atom
* mass density: 5.4 g/cm³
* magnetization: 0.0 μB per formula unit
* formation energy without anion corrections: -304 kJ/mol of formula units
* E: -4.811 eV per atom

```
data_HfMgAl2F
_space_group_name_H-M_alt 'P 4/m m m'
_space_group_IT_number 123
_space_group_name_Hall '-P 4 2'
_cell_length_a 4.671
_cell_length_b 4.671
_cell_length_c 3.896
_cell_angle_alpha 90.00
_cell_angle_beta 90.00
_cell_angle_gamma 90.00
loop_
_atom_site_label
_atom_site_type_symbol
_atom_site_fract_x
_atom_site_fract_y
_atom_site_fract_z
_atom_site_occupancy
Hf1 Hf 0.000 0.000 0.000 1
Mg1 Mg 0.500 0.500 0.000 1
Al1 Al 0.000 0.500 0.500 1
F1 F 0.500 0.500 0.500 1
```